Record 1
A geometry-optimized Mg2Br structure, computed with GGA-PBE.

Summary:
For the energy above the most stable polymorph in this dataset, the calculation gives 0.303 eV/atom. The density of states at the Fermi level is 0.425 states/eV per atom. The value obtained for the energy is -5.50 eV for the cell shown. The calculation puts the formation energy from raw total energies at -0.21 eV per atom. Its space group is P4/mmm (123).

```
Mg2Br
1.0
4.2367 0.0000 0.0000
0.0000 4.2367 0.0000
0.0000 0.0000 4.9383
Mg Br
2 1
direct
0.5000 0.0000 0.5000 Mg
0.0000 0.5000 0.5000 Mg
0.0000 0.0000 0.0000 Br
```

***

Record 2
A geometry-optimized Tb3Sm2Dy6Tl structure, computed with GGA-PBE.

Summary:
The density of states at the Fermi level is 1.290 states/eV per atom. As for the formation energy: -0.0251 eV per atom. The value obtained for the energy is -53.61 eV for the cell shown. Its space group is C2/m (12).

```
Tb3Sm2Dy6Tl
1.0
6.1081 -0.0033 -0.0022
-3.0554 5.2890 -0.0022
-1.0208 -1.7675 11.5393
Sm Dy Tl Tb
2 6 1 3
direct
0.3338 0.6662 0.0000 Sm
0.6662 0.3338 0.0000 Sm
0.2456 0.2456 0.7498 Dy
0.9177 0.5894 0.7510 Dy
0.5894 0.9177 0.7510 Dy
0.0823 0.4106 0.2490 Dy
0.4106 0.0823 0.2490 Dy
0.7544 0.7544 0.2502 Dy
0.0000 0.0000 0.0000 Tl
0.8330 0.1670 0.5000 Tb
0.5000 0.5000 0.5000 Tb
0.1670 0.8330 0.5000 Tb
```

***

Record 3
A geometry-optimized SrY2Ga2 structure, computed with GGA-PBE.

Summary:
For the energy above the most stable polymorph in this dataset, the calculation gives 0.201 eV/atom. The density of states at the Fermi level is 0.668 states/eV per atom. As for the formation energy: -0.1887 eV per atom. The value obtained for the energy is -21.61 eV for the cell shown. Its space group is I4/mmm (139).

```
SrY2Ga2
1.0
-4.9272 0.8045 -1.8252
-1.6325 -4.4214 2.4580
-4.5089 1.2357 4.9759
Y Ga Sr
2 2 1
direct
0.3406 0.3406 0.3188 Y
0.6594 0.6594 0.6812 Y
0.7500 0.2500 0.5000 Ga
0.2500 0.7500 0.5000 Ga
0.0000 0.0000 0.0000 Sr
```

***

Record 4
A geometry-optimized YRePt structure, computed with GGA-PBE.

Summary:
For the energy above the most stable polymorph in this dataset, the calculation gives 0.000 eV/atom. The density of states at the Fermi level is 1.337 states/eV per atom. As for the formation energy: -0.1662 eV per atom. The value obtained for the energy is -25.45 eV for the cell shown. Its space group is P-6m2 (187).

```
YRePt
1.0
-1.0505 4.0191 1.1161
-1.4586 -1.6580 -3.6913
-3.2683 -1.3857 1.9138
Y Re Pt
1 1 1
direct
0.3333 0.6667 0.6666 Y
0.6667 0.3333 0.1666 Re
0.0000 0.0000 0.1667 Pt
```

***

Record 5
A geometry-optimized NpHgC structure, computed with GGA-PBE.

Summary:
The density of states at the Fermi level is 1.865 states/eV per atom. As for the formation energy: 0.1856 eV per atom. The value obtained for the energy is -87.64 eV for the cell shown. Its space group is Pnma (62).

```
NpHgC
1.0
3.3057 0.0000 0.0000
0.0000 3.2479 0.0000
0.0000 0.0000 22.3454
Hg Np C
4 4 4
direct
0.7530 0.7500 0.4437 Hg
0.2530 0.2500 0.0563 Hg
0.7470 0.7500 0.9437 Hg
0.2470 0.2500 0.5563 Hg
0.2433 0.7500 0.8120 Np
0.7567 0.2500 0.1880 Np
0.2567 0.7500 0.3120 Np
0.7433 0.2500 0.6880 Np
0.7567 0.2500 0.2917 C
0.2433 0.7500 0.7083 C
0.7433 0.2500 0.7917 C
0.2567 0.7500 0.2083 C
```

***

Record 6
A geometry-optimized MnInRe4 structure, computed with GGA-PBE.

Summary:
The density of states at the Fermi level is 0.816 states/eV per atom. As for the formation energy: 0.4958 eV per atom. The value obtained for the energy is -58.73 eV for the cell shown. Its space group is F-43m (216).

```
MnInRe4
1.0
-0.8765 -2.8088 4.3284
-3.5765 1.5925 3.4734
-4.4835 -2.6456 0.5395
Re Mn In
4 1 1
direct
0.3746 0.8762 0.3746 Re
0.3746 0.3746 0.8762 Re
0.8762 0.3746 0.3746 Re
0.3746 0.3746 0.3746 Re
0.0000 0.0000 0.0000 Mn
0.7500 0.7500 0.7500 In
```

***

Q: Which value of energy does entry 4 give?
A: -25.45 eV for the cell shown